# Nd2Er3Sb2 (PBE, optimized geometry)
data_Nd2Er3Sb2
_chemical_formula_sum 'Nd4 Er6 Sb4'
_symmetry_space_group_name_H-M 'C 1 2/m 1'
_symmetry_Int_Tables_number 12
_cell_length_a 12.178
_cell_length_b 4.298
_cell_length_c 8.653
_cell_angle_alpha 90.00
_cell_angle_beta 110.40
_cell_angle_gamma 90.00
loop_
_symmetry_equiv_pos_as_xyz
'x,y,z'
'-x,-y,-z'
'-x,y,-z'
'x,-y,z'
'x+1/2,y+1/2,z'
'-x+1/2,-y+1/2,-z'
'-x+1/2,y+1/2,-z'
'x+1/2,-y+1/2,z'
loop_
_atom_site_label
_atom_site_fract_x
_atom_site_fract_y
_atom_site_fract_z
Nd1 0.134 0.000 0.293
Er1 0.000 0.500 0.500
Er2 0.125 0.500 0.947
Sb1 0.168 0.000 0.703
# M_tot = 0.000 μB/atom
# calculated total energy = -5.144 eV per atom